Computed, not measured: a relaxed Sr2HgTe crystal at the GGA-PBE level of DFT.

Cell and atoms, written as POSCAR:
```
Sr2HgTe
1.0
4.113 0.000 0.000
0.000 4.158 0.000
0.000 0.000 7.765
Sr Hg Te
2 1 1
direct
0.000 0.000 0.250
0.000 0.000 0.750
0.500 0.500 0.000
0.500 0.500 0.500
```

Computed properties:
Its formation energy from raw total energies is -1.001 eV per atom. For the calculated density, the calculation gives 6.29 g/cm³. For the spin magnetization, the calculation gives 0.0 μB per formula unit. The uncorrected energy comes out at -2.703 eV per atom. The calculation puts the volume at 132.8 Å³/f.u. The value obtained for the excess energy over the best structure of this formula in the dataset is 0 meV/atom.

Computed, not measured: a relaxed SrHg2Te crystal at the GGA-PBE level of DFT.

Cell and atoms, written as POSCAR:
```
SrHg2Te
1.0
2.559 1.477 5.642
-2.559 1.477 5.642
0.000 -2.955 5.642
Sr Hg Te
1 2 1
direct
0.000 0.000 0.000
0.249 0.249 0.249
0.751 0.751 0.751
0.500 0.500 0.500
```

Computed properties:
Its formation energy from raw total energies is -0.555 eV per atom. For the calculated density, the calculation gives 8.00 g/cm³. For the spin magnetization, the calculation gives 0.0 μB per formula unit. The uncorrected energy comes out at -1.912 eV per atom. The calculation puts the volume at 128.0 Å³/f.u.